PBE-GGA Rb4AsAu, optimized geometry; total moment = 0.00 μB per formula unit; mass density = 3.8 g/cm³; density of states at the Fermi level = 2.83 states/eV/f.u.; energy relative to the elements = -0.291 eV per atom
1.0
-0.4386 2.7737 4.7565
-0.7805 -7.7573 4.4516
21.4205 -0.7656 2.4218
Rb As Au
16 4 4
direct
0.7500 0.9021 0.6441
0.2500 0.0979 0.3559
0.2500 0.5979 0.1441
0.7500 0.4021 0.8559
0.7500 0.8542 0.4591
0.2500 0.1458 0.5409
0.2500 0.6458 0.9591
0.7500 0.3542 0.0409
0.7500 0.9928 0.9339
0.2500 0.0072 0.0661
0.2500 0.5072 0.4339
0.7500 0.4928 0.5661
0.7500 0.9308 0.2127
0.2500 0.0692 0.7873
0.2500 0.5692 0.7127
0.7500 0.4308 0.2873
0.7500 0.2504 0.4335
0.2500 0.7496 0.5665
0.2500 0.2496 0.9335
0.7500 0.7504 0.0665
0.7500 0.7726 0.7980
0.2500 0.2274 0.2020
0.2500 0.7274 0.2980
0.7500 0.2726 0.7020

PBE-GGA Rb2AsAu, optimized geometry; total moment = 0.00 μB per formula unit; mass density = 3.5 g/cm³; density of states at the Fermi level = 2.06 states/eV/f.u.; energy relative to the elements = -0.240 eV per atom
1.0
12.9925 0.0000 0.0000
0.0000 12.9925 0.0000
6.4962 6.4962 2.5199
As Au Rb
2 2 4
direct
0.5000 0.5000 0.0000
0.2500 0.7500 0.5000
0.0000 0.0000 0.0000
0.7500 0.2500 0.5000
0.8322 0.1250 0.2500
0.9178 0.6250 0.2500
0.3750 0.1678 0.7500
0.8750 0.0822 0.7500

PBE-GGA Rb2As2Au, optimized geometry; total moment = 0.00 μB per formula unit; mass density = 5.4 g/cm³; density of states at the Fermi level = 1.31 states/eV/f.u.; energy relative to the elements = -0.182 eV per atom
1.0
3.8954 0.0000 0.0000
0.0000 3.8954 0.0000
1.9477 1.9477 10.4514
As Au Rb
2 1 2
direct
0.7500 0.2500 0.5000
0.2500 0.7500 0.5000
0.0000 0.0000 0.0000
0.3944 0.3944 0.2112
0.6056 0.6056 0.7888

PBE-GGA RbAsAuS2, optimized geometry; total moment = 3.60 μB per formula unit; mass density = 4.5 g/cm³; density of states at the Fermi level = 3.88 states/eV/f.u.; uncorrected formation energy = 54.60 kJ per mole of atoms
1.0
4.9229 0.0000 0.0000
0.0000 6.3692 0.0000
0.0000 0.0000 4.9229
As Au S Rb
1 1 2 1
direct
0.5000 0.5000 0.5000
0.0000 0.0000 0.0000
0.0000 0.0000 0.5000
0.5000 0.0000 0.0000
0.0000 0.5000 0.0000

PBE-GGA Rb4Sb2As2Au, optimized geometry; total moment = 0.00 μB per formula unit; mass density = 4.6 g/cm³; density of states at the Fermi level = 3.28 states/eV/f.u.; uncorrected formation energy = -25.61 kJ per mole of atoms
1.0
-2.9891 5.7340 0.2348
-6.9796 -2.2134 0.5198
-0.1917 1.0489 7.2627
Rb Sb As Au
4 2 2 1
direct
0.2658 0.5718 0.1767
0.7342 0.8233 0.4282
0.7342 0.4282 0.8233
0.2658 0.1767 0.5718
0.0825 0.1113 0.1113
0.9175 0.8887 0.8887
0.2025 0.6714 0.6714
0.7975 0.3286 0.3286
0.5000 0.0000 0.0000

PBE-GGA RbAsAuSe2, optimized geometry; total moment = 0.00 μB per formula unit; mass density = 5.9 g/cm³; density of states at the Fermi level = 3.34 states/eV/f.u.; uncorrected formation energy = 4.93 kJ per mole of atoms
1.0
-0.8377 3.1865 -4.3270
0.1761 -4.3606 -3.2454
-4.8562 -0.5786 0.5140
As Au Se Rb
1 1 2 1
direct
0.0000 0.0000 0.5000
0.0000 0.0000 0.0000
0.0000 0.5000 0.0000
0.5000 0.0000 0.0000
0.5000 0.5000 0.5000

PBE-GGA RbAsAuSe2, optimized geometry; total moment = 2.05 μB per formula unit; mass density = 4.5 g/cm³; density of states at the Fermi level = 6.50 states/eV/f.u.; uncorrected formation energy = 149.02 kJ per mole of atoms
1.0
-1.0800 -0.3591 5.6776
4.2691 -3.8709 0.5673
3.6746 4.1940 0.9643
As Au Se Rb
1 1 2 1
direct
0.0000 0.0000 0.5000
0.5000 0.5000 0.5000
0.0000 0.5000 0.0000
0.5000 0.0000 0.0000
0.0000 0.0000 0.0000

PBE-GGA RbAsAu2Se4, optimized geometry; total moment = 0.00 μB per formula unit; mass density = 5.6 g/cm³; uncorrected formation energy = -32.36 kJ per mole of atoms
1.0
6.6041 0.0000 0.0000
3.3021 6.2101 -0.6105
3.3021 0.0809 6.2395
Rb As Au Se
1 1 2 4
direct
0.0000 0.0000 0.0000
0.0000 0.5000 0.5000
0.5000 0.6664 0.3336
0.5000 0.3336 0.6664
0.6340 0.5137 0.8231
0.3660 0.1769 0.4863
0.9707 0.4863 0.1769
0.0293 0.8231 0.5137

PBE-GGA RbSnAs2Au4, optimized geometry; total moment = 0.00 μB per formula unit; mass density = 9.2 g/cm³; density of states at the Fermi level = 2.49 states/eV/f.u.; energy relative to the elements = -0.164 eV per atom
1.0
-3.4636 -2.4757 1.7112
2.7242 -3.6879 0.1785
2.7259 2.4524 9.0658
Rb Sn As Au
1 1 2 4
direct
0.0000 0.0000 0.5000
0.0000 0.0000 0.0000
0.5000 0.5000 0.3000
0.5000 0.5000 0.7000
0.0000 0.5000 0.1823
0.5000 0.0000 0.8177
0.5000 0.0000 0.1823
0.0000 0.5000 0.8177

PBE-GGA Rb2Te4AsAu2, optimized geometry; total moment = 0.00 μB per formula unit; mass density = 5.9 g/cm³; density of states at the Fermi level = 2.82 states/eV/f.u.; uncorrected formation energy = -30.34 kJ per mole of atoms
1.0
-1.1134 -3.7026 -4.4998
1.2125 -4.5452 4.6052
-8.8082 3.0834 -0.3999
Rb Te As Au
2 4 1 2
direct
0.2032 0.7468 0.4492
0.7968 0.2532 0.5508
0.7492 0.6988 0.1290
0.7032 0.8289 0.7130
0.2508 0.3012 0.8710
0.2968 0.1711 0.2870
0.0000 0.0000 0.0000
0.6969 0.2557 0.9332
0.3031 0.7443 0.0668

PBE-GGA RbTe6AsAu, optimized geometry; total moment = 0.00 μB per formula unit; mass density = 5.7 g/cm³; density of states at the Fermi level = 5.30 states/eV/f.u.; uncorrected formation energy = -7.79 kJ per mole of atoms
1.0
-3.5409 -1.6300 -9.3976
7.3718 -5.3072 -1.8571
-5.3472 -2.0879 7.8842
Rb Te As Au
2 12 2 2
direct
0.9070 0.6570 0.8140
0.0930 0.3430 0.1860
0.3567 0.6067 0.7133
0.8374 0.0874 0.6747
0.8405 0.1376 0.2635
0.4230 0.6259 0.2635
0.4230 0.1376 0.2635
0.8405 0.6259 0.2635
0.6433 0.3933 0.2867
0.1626 0.9126 0.3253
0.1595 0.8624 0.7365
0.5770 0.3741 0.7365
0.5770 0.8624 0.7365
0.1595 0.3741 0.7365
0.5000 0.0000 0.5000
0.0000 0.0000 0.5000
0.5000 0.5000 0.0000
0.5000 0.0000 0.0000

PBE-GGA RbTe3AsAu, optimized geometry; total moment = 0.00 μB per formula unit; mass density = 6.0 g/cm³; density of states at the Fermi level = 3.95 states/eV/f.u.; uncorrected formation energy = -25.72 kJ per mole of atoms
1.0
-3.2212 0.6061 -2.7360
-5.5275 -6.1967 5.1350
-1.1801 9.7627 3.5521
Rb Te As Au
2 6 2 2
direct
0.2500 0.2077 0.2618
0.7500 0.7923 0.7382
0.7500 0.8669 0.1210
0.2500 0.1331 0.8790
0.2500 0.7621 0.4305
0.7500 0.2379 0.5695
0.7500 0.4732 0.1565
0.2500 0.5268 0.8435
0.2500 0.6652 0.1221
0.7500 0.3348 0.8779
0.2500 0.0548 0.5993
0.7500 0.9452 0.4007